Entry from Alexandria: a geometry-optimized Er6PdS4 structure (PBE).

Cell: 3.8211 6.6509 19.9764 Å, 90.00 90.00 106.69°
Positions (direct):
Er (0.5000, 0.0000, 0.5000)
Er (0.0551, 0.1102, 0.3354)
Pd (0.6647, 0.3293, 0.2500)
Er (0.2270, 0.4540, 0.5886)
S (0.5864, 0.1728, 0.6230)
S (0.1401, 0.2802, 0.4621)
Er (0.5000, 0.0000, 0.0000)
Er (0.7730, 0.5460, 0.0886)
Er (0.0551, 0.1102, 0.1646)
S (0.5864, 0.1728, 0.8770)
Er (0.7730, 0.5460, 0.4114)
Er (0.9449, 0.8898, 0.8354)
Er (0.9449, 0.8898, 0.6646)
S (0.4136, 0.8272, 0.1230)
Pd (0.3353, 0.6707, 0.7500)
Er (0.6706, 0.3413, 0.7500)
S (0.4136, 0.8272, 0.3770)
S (0.1401, 0.2802, 0.0379)
Er (0.2270, 0.4540, 0.9114)
S (0.8599, 0.7198, 0.5379)
S (0.8599, 0.7198, 0.9621)
Er (0.3294, 0.6587, 0.2500)

## Properties
Formation energy (no corrections): -1.618 eV per atom
Crystal system: orthorhombic
V: 486.3 Å³ per cell
Spin magnetization: 0.00 Bohr magnetons per cell